# 1
A plane-wave DFT calculation with PBE was carried out for a relaxed YHgS crystal.

a b c (Å): 3.9908 3.9908 8.7883
angles (deg): 90.00 90.00 90.00
With the nearest neighbours (Å) after each atom.
Space group P4/nmm (No. 129, origin choice 2)
Inequivalent atoms, fractional coordinates:
Y  0.2500  0.2500  0.1714 [2 per cell]  5 S 2.74-2.83
Hg  0.2500  0.7500  0.5000 [2 per cell]  4 Hg 2.82
S  0.2500  0.2500  0.8591 [2 per cell]  5 Y 2.74-2.83

Calculated volume: 23.3 Å³/atom
DOS at the Fermi energy: 3.0 states/eV/cell
Raw total energy: -4.85 eV/atom
ρ: 7.6 g cm⁻³
Crystal system: tetragonal
Energy relative to the elements, uncorrected: -1221 meV/atom

# 2
A plane-wave DFT calculation with PBE was carried out for a relaxed YZnHg2S crystal.

a b c (Å): 6.2178 6.2178 5.0828
angles (deg): 90.00 90.00 90.00
With the nearest neighbours (Å) after each atom.
Space group P4/mmm (No. 123)
Inequivalent atoms, fractional coordinates:
Y  0.0000  0.0000  0.0000 [1 per cell]  2 S 2.54
Zn  0.5000  0.5000  0.5000 [1 per cell]  8 Hg 4.02, 4 S 4.40
Hg  0.0000  0.5000  0.0000 [2 per cell]  2 Y 3.11
S  0.0000  0.0000  0.5000 [1 per cell]  2 Y 2.54

Calculated volume: 39.3 Å³/atom
DOS at the Fermi energy: 2.7 states/eV/cell
Raw total energy: -2.64 eV/atom
ρ: 5.0 g cm⁻³
Crystal system: tetragonal
Energy relative to the elements, uncorrected: -148 meV/atom